# La3ErIn (PBE, optimized geometry)
data_La3ErIn
_chemical_formula_sum 'La12 Er4 In4'
_symmetry_space_group_name_H-M 'C m c m'
_symmetry_Int_Tables_number 63
_symmetry_space_group_name_Hall '-C 2c 2'
_cell_length_a 4.964
_cell_length_b 26.176
_cell_length_c 4.943
_cell_angle_alpha 90.00
_cell_angle_beta 90.00
_cell_angle_gamma 90.00
loop_
_atom_site_label
_atom_site_fract_x
_atom_site_fract_y
_atom_site_fract_z
_atom_site_occupancy
La1 0.000 0.054 0.250 1
La2 0.000 0.250 0.250 1
La3 0.000 0.441 0.250 1
Er1 0.000 0.347 0.750 1
In1 0.000 0.153 0.750 1
# VASP energy, eV per atom: -4.611
# Crystal system: orthorhombic
# Energy of formation from the pure elements, meV per atom: -195

***

# La15Er2In2 (PBE, optimized geometry)
data_La15Er2In2
_chemical_formula_sum 'La45 Er6 In6'
_symmetry_space_group_name_H-M 'R -3 m'
_symmetry_Int_Tables_number 166
_symmetry_space_group_name_Hall '-R 3 2"'
_cell_length_a 11.0224
_cell_length_b 11.0224
_cell_length_c 18.5972
_cell_angle_alpha 90.00
_cell_angle_beta 90.00
_cell_angle_gamma 120.00
loop_
_atom_site_label
_atom_site_fract_x
_atom_site_fract_y
_atom_site_fract_z
_atom_site_occupancy
La1 0.0000 0.2913 0.0000 1
La2 0.0000 0.5000 0.5000 1
La3 0.0495 0.5247 0.1266 1
Er1 0.0000 0.0000 0.2947 1
In1 0.0000 0.0000 0.0952 1
# VASP energy, eV per atom: -4.570
# Crystal system: trigonal
# Energy of formation from the pure elements, meV per atom: 89

***

# LaEr2In9 (PBE, optimized geometry)
data_LaEr2In9
_chemical_formula_sum 'La1 Er2 In9'
_symmetry_space_group_name_H-M 'P 4/m m m'
_symmetry_Int_Tables_number 123
_symmetry_space_group_name_Hall '-P 4 2'
_cell_length_a 4.687
_cell_length_b 4.687
_cell_length_c 13.988
_cell_angle_alpha 90.00
_cell_angle_beta 90.00
_cell_angle_gamma 90.00
loop_
_atom_site_label
_atom_site_fract_x
_atom_site_fract_y
_atom_site_fract_z
_atom_site_occupancy
La1 0.000 0.000 0.000 1
Er1 0.000 0.000 0.338 1
In1 0.000 0.500 0.174 1
In2 0.000 0.500 0.500 1
In3 0.500 0.500 0.000 1
In4 0.500 0.500 0.335 1
# VASP energy, eV per atom: -3.642
# Crystal system: tetragonal
# Energy of formation from the pure elements, meV per atom: -417

***

# La3Er6In (PBE, optimized geometry)
data_La3Er6In
_chemical_formula_sum 'La12 Er24 In4'
_symmetry_space_group_name_H-M 'C m c 21'
_symmetry_Int_Tables_number 36
_symmetry_space_group_name_Hall 'C 2c -2'
_cell_length_a 13.339
_cell_length_b 15.539
_cell_length_c 6.336
_cell_angle_alpha 90.00
_cell_angle_beta 90.00
_cell_angle_gamma 90.00
loop_
_atom_site_label
_atom_site_fract_x
_atom_site_fract_y
_atom_site_fract_z
_atom_site_occupancy
La1 0.000 0.142 0.000 1
La2 0.200 0.412 0.661 1
Er1 0.000 0.253 0.503 1
Er2 0.000 0.452 0.337 1
Er3 0.118 0.058 0.500 1
Er4 0.206 0.304 0.187 1
In1 0.000 0.347 0.937 1
# VASP energy, eV per atom: -4.432
# Crystal system: orthorhombic
# Energy of formation from the pure elements, meV per atom: 58

***

# La5Er2In (PBE, optimized geometry)
data_La5Er2In
_chemical_formula_sum 'La10 Er4 In2'
_symmetry_space_group_name_H-M 'I m m 2'
_symmetry_Int_Tables_number 44
_symmetry_space_group_name_Hall 'I 2 -2'
_cell_length_a 7.340
_cell_length_b 9.893
_cell_length_c 7.270
_cell_angle_alpha 90.00
_cell_angle_beta 90.00
_cell_angle_gamma 90.00
loop_
_atom_site_label
_atom_site_fract_x
_atom_site_fract_y
_atom_site_fract_z
_atom_site_occupancy
La1 0.000 0.000 0.000 1
La2 0.249 0.252 0.754 1
Er1 0.000 0.000 0.505 1
Er2 0.000 0.500 0.012 1
In1 0.000 0.500 0.498 1
# VASP energy, eV per atom: -4.671
# Crystal system: orthorhombic
# Energy of formation from the pure elements, meV per atom: -108

***

# LaEr6In (PBE, optimized geometry)
data_LaEr6In
_chemical_formula_sum 'La1 Er6 In1'
_symmetry_space_group_name_H-M 'P 4/m m m'
_symmetry_Int_Tables_number 123
_symmetry_space_group_name_Hall '-P 4 2'
_cell_length_a 4.882
_cell_length_b 4.882
_cell_length_c 10.070
_cell_angle_alpha 90.00
_cell_angle_beta 90.00
_cell_angle_gamma 90.00
loop_
_atom_site_label
_atom_site_fract_x
_atom_site_fract_y
_atom_site_fract_z
_atom_site_occupancy
La1 0.000 0.000 0.000 1
Er1 0.000 0.500 0.261 1
Er2 0.500 0.500 0.000 1
Er3 0.500 0.500 0.500 1
In1 0.000 0.000 0.500 1
# VASP energy, eV per atom: -4.465
# Crystal system: tetragonal
# Energy of formation from the pure elements, meV per atom: -85

***

# La2Er3In2 (PBE, optimized geometry)
data_La2Er3In2
_chemical_formula_sum 'La4 Er6 In4'
_symmetry_space_group_name_H-M 'C 1 2/m 1'
_symmetry_Int_Tables_number 12
_symmetry_space_group_name_Hall '-C 2y'
_cell_length_a 9.515
_cell_length_b 5.493
_cell_length_c 8.758
_cell_angle_alpha 90.00
_cell_angle_beta 111.18
_cell_angle_gamma 90.00
loop_
_atom_site_label
_atom_site_fract_x
_atom_site_fract_y
_atom_site_fract_z
_atom_site_occupancy
La1 0.078 0.000 0.235 1
Er1 0.000 0.500 0.500 1
Er2 0.151 0.500 0.953 1
In1 0.219 0.000 0.656 1
# VASP energy, eV per atom: -4.406
# Crystal system: monoclinic
# Energy of formation from the pure elements, meV per atom: -260

***

# La3ErIn (PBE, optimized geometry)
data_La3ErIn
_chemical_formula_sum 'La12 Er4 In4'
_symmetry_space_group_name_H-M 'C 1 2/m 1'
_symmetry_Int_Tables_number 12
_symmetry_space_group_name_Hall '-C 2y'
_cell_length_a 13.479
_cell_length_b 3.789
_cell_length_c 12.930
_cell_angle_alpha 90.00
_cell_angle_beta 95.33
_cell_angle_gamma 90.00
loop_
_atom_site_label
_atom_site_fract_x
_atom_site_fract_y
_atom_site_fract_z
_atom_site_occupancy
La1 0.039 0.000 0.185 1
La2 0.143 0.500 0.984 1
La3 0.148 0.000 0.439 1
Er1 0.222 0.000 0.756 1
In1 0.062 0.500 0.627 1
# VASP energy, eV per atom: -4.594
# Crystal system: monoclinic
# Energy of formation from the pure elements, meV per atom: -177

***

# La5ErIn5 (PBE, optimized geometry)
data_La5ErIn5
_chemical_formula_sum 'La10 Er2 In10'
_symmetry_space_group_name_H-M 'C 1 2/m 1'
_symmetry_Int_Tables_number 12
_symmetry_space_group_name_Hall '-C 2y'
_cell_length_a 18.364
_cell_length_b 5.910
_cell_length_c 7.143
_cell_angle_alpha 90.00
_cell_angle_beta 112.82
_cell_angle_gamma 90.00
loop_
_atom_site_label
_atom_site_fract_x
_atom_site_fract_y
_atom_site_fract_z
_atom_site_occupancy
La1 0.000 0.000 0.000 1
La2 0.142 0.500 0.143 1
La3 0.191 0.500 0.691 1
Er1 0.000 0.000 0.500 1
In1 0.000 0.500 0.500 1
In2 0.161 0.000 0.442 1
In3 0.161 0.000 0.879 1
# VASP energy, eV per atom: -4.173
# Crystal system: monoclinic
# Energy of formation from the pure elements, meV per atom: -274

***

# LaEr8In6 (PBE, optimized geometry)
data_LaEr8In6
_chemical_formula_sum 'La3 Er24 In18'
_symmetry_space_group_name_H-M 'R -3'
_symmetry_Int_Tables_number 148
_symmetry_space_group_name_Hall '-R 3'
_cell_length_a 9.0702
_cell_length_b 9.0702
_cell_length_c 19.2825
_cell_angle_alpha 90.00
_cell_angle_beta 90.00
_cell_angle_gamma 120.00
loop_
_atom_site_label
_atom_site_fract_x
_atom_site_fract_y
_atom_site_fract_z
_atom_site_occupancy
La1 0.0000 0.0000 0.0000 1
Er1 0.0000 0.0000 0.3320 1
Er2 0.0021 0.6648 0.7795 1
In1 0.0002 0.3434 0.0605 1
# VASP energy, eV per atom: -4.053
# Crystal system: trigonal
# Energy of formation from the pure elements, meV per atom: -196

***

# La5Er2In5 (PBE, optimized geometry)
data_La5Er2In5
_chemical_formula_sum 'La10 Er4 In10'
_symmetry_space_group_name_H-M 'C 1 2/m 1'
_symmetry_Int_Tables_number 12
_symmetry_space_group_name_Hall '-C 2y'
_cell_length_a 10.186
_cell_length_b 5.483
_cell_length_c 13.825
_cell_angle_alpha 90.00
_cell_angle_beta 105.35
_cell_angle_gamma 90.00
loop_
_atom_site_label
_atom_site_fract_x
_atom_site_fract_y
_atom_site_fract_z
_atom_site_occupancy
La1 0.000 0.000 0.000 1
La2 0.075 0.500 0.814 1
La3 0.152 0.500 0.489 1
Er1 0.195 0.000 0.707 1
In1 0.000 0.000 0.500 1
In2 0.126 0.000 0.284 1
In3 0.204 0.500 0.065 1
# VASP energy, eV per atom: -4.292
# Crystal system: monoclinic
# Energy of formation from the pure elements, meV per atom: -338

***

# La3ErIn4 (PBE, optimized geometry)
data_La3ErIn4
_chemical_formula_sum 'La3 Er1 In4'
_symmetry_space_group_name_H-M 'P 4/m m m'
_symmetry_Int_Tables_number 123
_symmetry_space_group_name_Hall '-P 4 2'
_cell_length_a 3.855
_cell_length_b 3.855
_cell_length_c 15.947
_cell_angle_alpha 90.00
_cell_angle_beta 90.00
_cell_angle_gamma 90.00
loop_
_atom_site_label
_atom_site_fract_x
_atom_site_fract_y
_atom_site_fract_z
_atom_site_occupancy
La1 0.000 0.000 0.000 1
La2 0.000 0.000 0.259 1
Er1 0.000 0.000 0.500 1
In1 0.500 0.500 0.130 1
In2 0.500 0.500 0.391 1
# VASP energy, eV per atom: -4.290
# Crystal system: tetragonal
# Energy of formation from the pure elements, meV per atom: -503

***

# La6ErIn2 (PBE, optimized geometry)
data_La6ErIn2
_chemical_formula_sum 'La6 Er1 In2'
_symmetry_space_group_name_H-M 'P -6 2 m'
_symmetry_Int_Tables_number 189
_symmetry_space_group_name_Hall 'P -6 -2'
_cell_length_a 8.3743
_cell_length_b 8.3743
_cell_length_c 5.0950
_cell_angle_alpha 90.00
_cell_angle_beta 90.00
_cell_angle_gamma 120.00
loop_
_atom_site_label
_atom_site_fract_x
_atom_site_fract_y
_atom_site_fract_z
_atom_site_occupancy
La1 0.0000 0.2458 0.0000 1
La2 0.0000 0.5663 0.5000 1
Er1 0.0000 0.0000 0.5000 1
In1 0.3333 0.6667 0.0000 1
# VASP energy, eV per atom: -4.553
# Crystal system: hexagonal
# Energy of formation from the pure elements, meV per atom: -153

***

# LaEr4In (PBE, optimized geometry)
data_LaEr4In
_chemical_formula_sum 'La4 Er16 In4'
_symmetry_space_group_name_H-M 'C m c m'
_symmetry_Int_Tables_number 63
_symmetry_space_group_name_Hall '-C 2c 2'
_cell_length_a 5.167
_cell_length_b 20.051
_cell_length_c 7.331
_cell_angle_alpha 90.00
_cell_angle_beta 90.00
_cell_angle_gamma 90.00
loop_
_atom_site_label
_atom_site_fract_x
_atom_site_fract_y
_atom_site_fract_z
_atom_site_occupancy
La1 0.000 0.118 0.250 1
Er1 0.000 0.069 0.750 1
Er2 0.000 0.330 0.032 1
Er3 0.000 0.500 0.000 1
In1 0.000 0.220 0.750 1
# VASP energy, eV per atom: -4.351
# Crystal system: orthorhombic
# Energy of formation from the pure elements, meV per atom: -31

***

# Li2LaEr2In2 (PBE, optimized geometry)
data_Li2LaEr2In2
_chemical_formula_sum 'Li6 La3 Er6 In6'
_symmetry_space_group_name_H-M 'R -3 m'
_symmetry_Int_Tables_number 166
_symmetry_space_group_name_Hall '-R 3 2"'
_cell_length_a 4.9197
_cell_length_b 4.9197
_cell_length_c 26.7987
_cell_angle_alpha 90.00
_cell_angle_beta 90.00
_cell_angle_gamma 120.00
loop_
_atom_site_label
_atom_site_fract_x
_atom_site_fract_y
_atom_site_fract_z
_atom_site_occupancy
Li1 0.0000 0.0000 0.0891 1
La1 0.0000 0.0000 0.5000 1
Er1 0.0000 0.0000 0.3700 1
In1 0.0000 0.0000 0.2440 1
# VASP energy, eV per atom: -3.579
# Crystal system: trigonal
# Energy of formation from the pure elements, meV per atom: -242

***

# Li2La2ErIn5 (PBE, optimized geometry)
data_Li2La2ErIn5
_chemical_formula_sum 'Li4 La4 Er2 In10'
_symmetry_space_group_name_H-M 'P 4/m b m'
_symmetry_Int_Tables_number 127
_symmetry_space_group_name_Hall '-P 4 2ab'
_cell_length_a 10.430
_cell_length_b 10.430
_cell_length_c 4.581
_cell_angle_alpha 90.00
_cell_angle_beta 90.00
_cell_angle_gamma 90.00
loop_
_atom_site_label
_atom_site_fract_x
_atom_site_fract_y
_atom_site_fract_z
_atom_site_occupancy
Li1 0.115 0.385 0.000 1
La1 0.180 0.680 0.000 1
Er1 0.000 0.000 0.000 1
In1 0.000 0.500 0.500 1
In2 0.064 0.210 0.500 1
# VASP energy, eV per atom: -3.642
# Crystal system: tetragonal
# Energy of formation from the pure elements, meV per atom: -448

***

# Li2La2ErIn2 (PBE, optimized geometry)
data_Li2La2ErIn2
_chemical_formula_sum 'Li6 La6 Er3 In6'
_symmetry_space_group_name_H-M 'R -3 m'
_symmetry_Int_Tables_number 166
_symmetry_space_group_name_Hall '-R 3 2"'
_cell_length_a 4.8624
_cell_length_b 4.8624
_cell_length_c 26.6350
_cell_angle_alpha 90.00
_cell_angle_beta 90.00
_cell_angle_gamma 120.00
loop_
_atom_site_label
_atom_site_fract_x
_atom_site_fract_y
_atom_site_fract_z
_atom_site_occupancy
Li1 0.0000 0.0000 0.1076 1
La1 0.0000 0.0000 0.3656 1
Er1 0.0000 0.0000 0.5000 1
In1 0.0000 0.0000 0.2309 1
# VASP energy, eV per atom: -3.658
# Crystal system: trigonal
# Energy of formation from the pure elements, meV per atom: -269

***

# LiLaEr2In4 (PBE, optimized geometry)
data_LiLaEr2In4
_chemical_formula_sum 'Li3 La3 Er6 In12'
_symmetry_space_group_name_H-M 'R -3 m'
_symmetry_Int_Tables_number 166
_symmetry_space_group_name_Hall '-R 3 2"'
_cell_length_a 5.2444
_cell_length_b 5.2444
_cell_length_c 26.7057
_cell_angle_alpha 90.00
_cell_angle_beta 90.00
_cell_angle_gamma 120.00
loop_
_atom_site_label
_atom_site_fract_x
_atom_site_fract_y
_atom_site_fract_z
_atom_site_occupancy
Li1 0.0000 0.0000 0.0000 1
La1 0.0000 0.0000 0.5000 1
Er1 0.0000 0.0000 0.2541 1
In1 0.0000 0.0000 0.1189 1
In2 0.0000 0.0000 0.3713 1
# VASP energy, eV per atom: -3.766
# Crystal system: trigonal
# Energy of formation from the pure elements, meV per atom: -401

***

# LaEr2Mg2In2 (PBE, optimized geometry)
data_LaEr2Mg2In2
_chemical_formula_sum 'La3 Er6 Mg6 In6'
_symmetry_space_group_name_H-M 'R -3 m'
_symmetry_Int_Tables_number 166
_symmetry_space_group_name_Hall '-R 3 2"'
_cell_length_a 5.0349
_cell_length_b 5.0349
_cell_length_c 26.6010
_cell_angle_alpha 90.00
_cell_angle_beta 90.00
_cell_angle_gamma 120.00
loop_
_atom_site_label
_atom_site_fract_x
_atom_site_fract_y
_atom_site_fract_z
_atom_site_occupancy
La1 0.0000 0.0000 0.0000 1
Er1 0.0000 0.0000 0.1318 1
Mg1 0.0000 0.0000 0.4118 1
In1 0.0000 0.0000 0.2585 1
# VASP energy, eV per atom: -3.491
# Crystal system: trigonal
# Energy of formation from the pure elements, meV per atom: -245

***

# LaEr2MgIn4 (PBE, optimized geometry)
data_LaEr2MgIn4
_chemical_formula_sum 'La3 Er6 Mg3 In12'
_symmetry_space_group_name_H-M 'R -3 m'
_symmetry_Int_Tables_number 166
_symmetry_space_group_name_Hall '-R 3 2"'
_cell_length_a 5.2624
_cell_length_b 5.2624
_cell_length_c 26.9205
_cell_angle_alpha 90.00
_cell_angle_beta 90.00
_cell_angle_gamma 120.00
loop_
_atom_site_label
_atom_site_fract_x
_atom_site_fract_y
_atom_site_fract_z
_atom_site_occupancy
La1 0.0000 0.0000 0.0000 1
Er1 0.0000 0.0000 0.2449 1
Mg1 0.0000 0.0000 0.5000 1
In1 0.0000 0.0000 0.1271 1
In2 0.0000 0.0000 0.3802 1
# VASP energy, eV per atom: -3.696
# Crystal system: trigonal
# Energy of formation from the pure elements, meV per atom: -371